TmTlZnS3 | OQMD | PBE | optimized geometry; excess energy over the best structure of this formula in the dataset = 0.072 eV per atom
1.0
11.211 0.000 0.000
0.000 4.048 0.000
0.000 0.000 11.957
Tm Tl Zn S
4 4 4 12
direct
0.026 0.250 0.168
0.474 0.750 0.668
0.526 0.250 0.332
0.974 0.750 0.832
0.161 0.250 0.509
0.339 0.750 0.009
0.661 0.250 0.991
0.839 0.750 0.491
0.249 0.250 0.800
0.251 0.750 0.300
0.749 0.250 0.700
0.751 0.750 0.200
0.044 0.750 0.320
0.100 0.250 0.938
0.226 0.750 0.696
0.274 0.250 0.196
0.400 0.750 0.438
0.456 0.250 0.820
0.544 0.750 0.180
0.600 0.250 0.562
0.726 0.750 0.804
0.774 0.250 0.304
0.900 0.750 0.062
0.956 0.250 0.680